Compound: SmAgSnHg
Source: Alexandria
Functional: PBE
Structure: optimized geometry

abc: 5.159 5.159 5.159
angles: 60.00 60.00 60.00
Atoms (fractional coordinates):
1 Ag 0.500 0.500 0.500
2 Hg 0.750 0.750 0.750
3 Sm 0.000 0.000 0.000
4 Sn 0.250 0.250 0.250

Summary:
For the calculated volume, the calculation gives 97.1 Å³ per cell. The calculation puts the calculated formation energy at -0.36 eV per atom. The total energy is -0.244 Ry/atom.